Below is a crystal of Li2ZrCl relaxed with PBEsol, with properties calculated at the SCAN level.

Geometry as POSCAR:
```
Li2ZrCl
1.0
5.065 0.000 0.000
2.532 5.285 0.000
2.532 0.000 5.285
Li Zr Cl
4 2 2
direct
0.875 0.927 0.573 Li
0.375 0.073 0.427 Li
0.552 0.573 0.073 Li
0.198 0.427 0.927 Li
0.000 0.000 0.000 Zr
0.750 0.500 0.500 Zr
0.500 0.000 0.000 Cl
0.250 0.500 0.500 Cl
```

The crystal system is tetragonal. The formation energy without anion corrections is -79.3 kJ/mol of formula units. The space-group type is I-42d. The excess energy over the best structure of this formula in the dataset is 1.26 eV per formula unit.

=====

Below is a crystal of Zn3Ag relaxed with PBEsol, with properties calculated at the SCAN level.

Geometry as POSCAR:
```
Zn3Ag
1.0
-1.406 2.224 1.022
-1.795 0.801 -4.213
-2.902 -2.862 2.236
Zn Ag
3 1
direct
0.500 0.000 0.500 Zn
0.500 0.500 0.000 Zn
0.000 0.500 0.500 Zn
0.000 0.000 0.000 Ag
```

The crystal system is orthorhombic. The space-group type is Cmmm. The formation energy is 0.01 eV/atom.

=====

Below is a crystal of K2RbRe relaxed with PBEsol, with properties calculated at the SCAN level.

Geometry as POSCAR:
```
K2RbRe
1.0
-5.019 2.457 -2.454
-2.650 -2.646 -4.819
-5.388 -2.795 0.633
Re K Rb
1 2 1
direct
0.500 0.500 0.500 Re
0.250 0.250 0.250 K
0.750 0.750 0.750 K
0.000 0.000 0.000 Rb
```

The crystal system is cubic. The space-group type is Fm-3m. The formation energy is 1.50 eV/atom.

=====

Below is a crystal of Tc4PCl relaxed with PBEsol, with properties calculated at the SCAN level.

Geometry as POSCAR:
```
Tc4PCl
1.0
-2.595 2.531 -3.558
-1.456 -2.370 -4.250
-4.912 -1.032 -0.777
Cl P Tc
1 1 4
direct
0.250 0.250 0.250 Cl
0.000 0.000 0.000 P
0.626 0.626 0.123 Tc
0.123 0.626 0.626 Tc
0.626 0.123 0.626 Tc
0.626 0.626 0.626 Tc
```

The crystal system is cubic. The formation energy without anion corrections is 642.4 kJ/mol of formula units. The space-group type is F-43m.

=====

Below is a crystal of ZnNiRu relaxed with PBEsol, with properties calculated at the SCAN level.

Geometry as POSCAR:
```
ZnNiRu
1.0
-2.858 2.094 -1.696
-3.753 -0.671 0.948
-2.000 2.652 2.097
Ni Ru Zn
1 1 1
direct
0.000 0.000 0.000 Ni
0.500 0.500 0.500 Ru
0.250 0.250 0.250 Zn
```

The crystal system is cubic. The space-group type is F-43m. The formation energy is 0.66 eV/atom.

=====

Below is a crystal of BaLi2Cu2 relaxed with PBEsol, with properties calculated at the SCAN level.

Geometry as POSCAR:
```
BaLi2Cu2
1.0
4.289 0.000 0.000
0.000 4.289 0.000
-2.144 -2.144 5.792
Ba Cu Li
1 2 2
direct
0.000 0.000 0.000 Ba
0.395 0.395 0.789 Cu
0.605 0.605 0.211 Cu
0.250 0.750 0.500 Li
0.750 0.250 0.500 Li
```

The crystal system is tetragonal. The space-group type is I4/mmm. The formation energy is 0.05 eV/atom.

=====

Below is a crystal of CaRe2Te relaxed with PBEsol, with properties calculated at the SCAN level.

Geometry as POSCAR:
```
CaRe2Te
1.0
3.566 0.000 0.000
0.000 5.072 0.000
-1.783 -2.536 4.591
Re Ca Te
2 1 1
direct
0.053 0.053 0.106 Re
0.727 0.227 0.455 Re
0.248 0.748 0.496 Ca
0.472 0.472 0.943 Te
```

The crystal system is orthorhombic. The formation energy without anion corrections is 202.0 kJ/mol of formula units. The space-group type is Imm2.

=====

Below is a crystal of Ti2NiW2 relaxed with PBEsol, with properties calculated at the SCAN level.

Geometry as POSCAR:
```
Ti2NiW2
1.0
3.516 0.000 0.000
0.000 3.516 0.000
-1.758 -1.758 6.790
Ni W Ti
1 2 2
direct
0.000 0.000 0.000 Ni
0.250 0.750 0.500 W
0.750 0.250 0.500 W
0.411 0.411 0.823 Ti
0.589 0.589 0.177 Ti
```

The crystal system is tetragonal. The space-group type is I4/mmm. The formation energy is 0.76 eV/atom.

=====

Below is a crystal of YGaC2 relaxed with PBEsol, with properties calculated at the SCAN level.

Geometry as POSCAR:
```
YGaC2
1.0
-0.155 3.121 3.164
-3.036 -2.387 2.205
5.958 -3.168 0.291
Y C Ga
2 4 2
direct
0.250 0.750 0.500 Y
0.000 0.000 0.000 Y
0.478 0.875 0.250 C
0.772 0.375 0.250 C
0.125 0.228 0.750 C
0.625 0.522 0.750 C
0.750 0.250 0.500 Ga
0.500 0.500 0.000 Ga
```

The crystal system is tetragonal. The space-group type is I-42d. The formation energy is 0.67 eV/atom.

=====

Below is a crystal of HfTa3Be relaxed with PBEsol, with properties calculated at the SCAN level.

Geometry as POSCAR:
```
HfTa3Be
1.0
-2.342 2.845 -3.086
-4.188 -1.353 1.931
0.274 3.630 3.139
Be Hf Ta
1 1 3
direct
0.500 0.500 0.500 Be
0.000 0.000 0.000 Hf
0.000 0.500 0.000 Ta
0.000 0.000 0.500 Ta
0.500 0.000 0.000 Ta
```

The crystal system is cubic. The space-group type is Pm-3m. The formation energy is 2.22 eV/atom.

=====

Below is a crystal of LaNiOs2 relaxed with PBEsol, with properties calculated at the SCAN level.

Geometry as POSCAR:
```
LaNiOs2
1.0
4.255 0.000 0.000
2.127 3.685 0.000
2.127 1.228 5.074
Ni Os La
1 2 1
direct
0.308 0.308 0.076 Ni
0.014 0.014 0.959 Os
0.694 0.694 0.917 Os
0.506 0.506 0.482 La
```

The crystal system is trigonal. The space-group type is R3m. The formation energy is -0.17 eV/atom. The excess energy over the best structure of this formula in the dataset is 0.00 eV per formula unit.

=====

Below is a crystal of In2FeCl relaxed with PBEsol, with properties calculated at the SCAN level.

Geometry as POSCAR:
```
In2FeCl
1.0
-1.987 -2.751 -0.180
3.333 -2.591 2.817
-2.917 4.036 2.592
Cl Fe In
1 1 2
direct
0.500 0.000 0.000 Cl
0.000 0.500 0.000 Fe
0.724 0.724 0.449 In
0.276 0.276 0.551 In
```

The crystal system is orthorhombic. The formation energy without anion corrections is 56.1 kJ/mol of formula units. The space-group type is Immm. The excess energy over the best structure of this formula in the dataset is 0.29 eV per formula unit.